Record 1
# Sr6Hg2AuN (PBE, optimized geometry)
data_Sr6Hg2AuN
_cell_length_a 7.609
_cell_length_b 8.127
_cell_length_c 13.162
_cell_angle_alpha 90.00
_cell_angle_beta 123.23
_cell_angle_gamma 90.00
_space_group_name_H-M_alt 'P 1 21/c 1'
_space_group_IT_number 14
loop_
_space_group_symop_operation_xyz
'x,y,z'
'-x,-y,-z'
'-x,y+1/2,-z+1/2'
'x,-y+1/2,z+1/2'
loop_
_atom_site_label
_atom_site_type_symbol
_atom_site_fract_x
_atom_site_fract_y
_atom_site_fract_z
Sr1 Sr 0.125 0.023 0.229
Sr2 Sr 0.211 0.716 0.048
Sr3 Sr 0.337 0.172 0.048
Hg1 Hg 0.283 0.084 0.751
Au1 Au 0.500 0.000 0.500
N1 N 0.000 0.000 0.000
# spin magnetization = 0.00 μB/cell
# raw formation energy = -0.524 eV per atom

=====

Record 2
# Sr8HgAu2N (PBE, optimized geometry)
data_Sr8HgAu2N
_cell_length_a 7.054
_cell_length_b 9.122
_cell_length_c 7.275
_cell_angle_alpha 90.00
_cell_angle_beta 91.60
_cell_angle_gamma 90.00
_space_group_name_H-M_alt 'P 1 2/m 1'
_space_group_IT_number 10
loop_
_space_group_symop_operation_xyz
'x,y,z'
'-x,-y,-z'
'-x,y,-z'
'x,-y,z'
loop_
_atom_site_label
_atom_site_type_symbol
_atom_site_fract_x
_atom_site_fract_y
_atom_site_fract_z
Sr1 Sr 0.211 0.207 0.164
Sr2 Sr 0.240 0.000 0.715
Sr3 Sr 0.280 0.500 0.661
Hg1 Hg 0.000 0.500 0.000
Au1 Au 0.500 0.229 0.500
N1 N 0.000 0.000 0.000
# spin magnetization = 0.00 μB/cell
# raw formation energy = -0.456 eV per atom

=====

Record 3
# HgTeAuN2 (PBE, optimized geometry)
data_HgTeAuN2
_cell_length_a 4.162
_cell_length_b 4.162
_cell_length_c 6.374
_cell_angle_alpha 90.00
_cell_angle_beta 90.00
_cell_angle_gamma 90.00
_space_group_name_H-M_alt 'P 4/m m m'
_space_group_IT_number 123
_space_group_name_Hall '-P 4 2'
loop_
_atom_site_label
_atom_site_type_symbol
_atom_site_fract_x
_atom_site_fract_y
_atom_site_fract_z
Hg1 Hg 0.000 0.000 0.000
Te1 Te 0.500 0.500 0.000
Au1 Au 0.500 0.500 0.500
N1 N 0.000 0.500 0.500
# ΔE to the lowest computed polymorph = 0 meV/atom
# spin magnetization = 3.72 μB/cell
# raw formation energy = 1.541 eV per atom

=====

Record 4
# HgTeAuN2 (PBE, optimized geometry)
data_HgTeAuN2
_cell_length_a 4.202
_cell_length_b 4.202
_cell_length_c 6.662
_cell_angle_alpha 90.00
_cell_angle_beta 90.00
_cell_angle_gamma 90.00
_space_group_name_H-M_alt 'P 4/m m m'
_space_group_IT_number 123
_space_group_name_Hall '-P 4 2'
loop_
_atom_site_label
_atom_site_type_symbol
_atom_site_fract_x
_atom_site_fract_y
_atom_site_fract_z
Hg1 Hg 0.000 0.000 0.000
Te1 Te 0.000 0.000 0.500
Au1 Au 0.500 0.500 0.500
N1 N 0.000 0.500 0.000
# ΔE to the lowest computed polymorph = 270 meV/atom
# spin magnetization = 3.76 μB/cell
# raw formation energy = 1.811 eV per atom

=====

Record 5
# Na6Hg2Au (PBE, optimized geometry)
data_Na6Hg2Au
_cell_length_a 5.3133
_cell_length_b 5.3133
_cell_length_c 30.9625
_cell_angle_alpha 90.00
_cell_angle_beta 90.00
_cell_angle_gamma 120.00
_space_group_name_H-M_alt 'R -3 m'
_space_group_IT_number 166
_space_group_name_Hall '-R 3 2"'
loop_
_atom_site_label
_atom_site_type_symbol
_atom_site_fract_x
_atom_site_fract_y
_atom_site_fract_z
Na1 Na 0.0000 0.0000 0.0815
Na2 Na 0.0000 0.0000 0.1956
Na3 Na 0.0000 0.0000 0.3077
Hg1 Hg 0.0000 0.0000 0.4086
Au1 Au 0.0000 0.0000 0.5000
# ΔE to the lowest computed polymorph = 0 meV/atom
# DFT formation energy = -192 meV/atom
# spin magnetization = 0.00 μB/cell

=====

Record 6
# NaHg4Au4 (PBE, optimized geometry)
data_NaHg4Au4
_cell_length_a 7.424
_cell_length_b 7.424
_cell_length_c 8.282
_cell_angle_alpha 90.00
_cell_angle_beta 90.00
_cell_angle_gamma 90.00
_space_group_name_H-M_alt 'P 42/n m c'
_space_group_IT_number 137
loop_
_space_group_symop_operation_xyz
'x,y,z'
'-x,-y,-z'
'-y+1/2,x,z+1/2'
'y+1/2,-x,-z+1/2'
'-x+1/2,-y+1/2,z'
'x+1/2,y+1/2,-z'
'y,-x+1/2,z+1/2'
'-y,x+1/2,-z+1/2'
'x+1/2,-y,-z'
'-x+1/2,y,z'
'-y,-x,-z+1/2'
'y,x,z+1/2'
'-x,y+1/2,-z'
'x,-y+1/2,z'
'y+1/2,x+1/2,-z+1/2'
'-y+1/2,-x+1/2,z+1/2'
loop_
_atom_site_label
_atom_site_type_symbol
_atom_site_fract_x
_atom_site_fract_y
_atom_site_fract_z
Na1 Na 0.250 0.750 0.250
Hg1 Hg 0.027 0.750 0.606
Au1 Au 0.060 0.250 0.054
# DFT formation energy = -4 meV/atom
# spin magnetization = 0.00 μB/cell

=====

Record 7
# Na10Hg3Au3 (PBE, optimized geometry)
data_Na10Hg3Au3
_cell_length_a 8.9977
_cell_length_b 8.9977
_cell_length_c 6.0006
_cell_angle_alpha 90.00
_cell_angle_beta 90.00
_cell_angle_gamma 120.00
_space_group_name_H-M_alt 'P -6 2 m'
_space_group_IT_number 189
_space_group_name_Hall 'P -6 -2'
loop_
_atom_site_label
_atom_site_type_symbol
_atom_site_fract_x
_atom_site_fract_y
_atom_site_fract_z
Na1 Na 0.0000 0.2488 0.0000
Na2 Na 0.0000 0.7504 0.5000
Na3 Na 0.3333 0.6667 0.2612
Hg1 Hg 0.0000 0.5958 0.0000
Au1 Au 0.0000 0.4000 0.5000
# DFT formation energy = -225 meV/atom
# spin magnetization = 0.00 μB/cell

=====

Record 8
# Na4Hg3Au (PBE, optimized geometry)
data_Na4Hg3Au
_cell_length_a 5.2153
_cell_length_b 5.2153
_cell_length_c 25.4073
_cell_angle_alpha 90.00
_cell_angle_beta 90.00
_cell_angle_gamma 120.00
_space_group_name_H-M_alt 'R -3 m'
_space_group_IT_number 166
_space_group_name_Hall '-R 3 2"'
loop_
_atom_site_label
_atom_site_type_symbol
_atom_site_fract_x
_atom_site_fract_y
_atom_site_fract_z
Na1 Na 0.0000 0.0000 0.1200
Na2 Na 0.0000 0.0000 0.3703
Hg1 Hg 0.0000 0.0000 0.2473
Hg2 Hg 0.0000 0.0000 0.5000
Au1 Au 0.0000 0.0000 0.0000
# ΔE to the lowest computed polymorph = 0 meV/atom
# DFT formation energy = -260 meV/atom
# spin magnetization = 0.00 μB/cell

=====

Record 9
# NaHg3Au2 (PBE, optimized geometry)
data_NaHg3Au2
_cell_length_a 17.006
_cell_length_b 4.378
_cell_length_c 9.187
_cell_angle_alpha 90.00
_cell_angle_beta 122.63
_cell_angle_gamma 90.00
_space_group_name_H-M_alt 'C 1 2/m 1'
_space_group_IT_number 12
loop_
_space_group_symop_operation_xyz
'x,y,z'
'-x,-y,-z'
'-x,y,-z'
'x,-y,z'
'x+1/2,y+1/2,z'
'-x+1/2,-y+1/2,-z'
'-x+1/2,y+1/2,-z'
'x+1/2,-y+1/2,z'
loop_
_atom_site_label
_atom_site_type_symbol
_atom_site_fract_x
_atom_site_fract_y
_atom_site_fract_z
Na1 Na 0.130 0.000 0.130
Hg1 Hg 0.000 0.000 0.344
Hg2 Hg 0.177 0.500 0.470
Hg3 Hg 0.177 0.500 0.884
Au1 Au 0.000 0.500 0.146
Au2 Au 0.207 0.000 0.707
# DFT formation energy = -121 meV/atom
# spin magnetization = 0.00 μB/cell

=====

Record 10
# Na3Hg5Au (PBE, optimized geometry)
data_Na3Hg5Au
_cell_length_a 8.0844
_cell_length_b 8.0844
_cell_length_c 4.0027
_cell_angle_alpha 90.00
_cell_angle_beta 90.00
_cell_angle_gamma 120.00
_space_group_name_H-M_alt 'P -6 2 m'
_space_group_IT_number 189
_space_group_name_Hall 'P -6 -2'
loop_
_atom_site_label
_atom_site_type_symbol
_atom_site_fract_x
_atom_site_fract_y
_atom_site_fract_z
Na1 Na 0.0000 0.3844 0.0000
Hg1 Hg 0.0000 0.7340 0.5000
Hg2 Hg 0.3333 0.6667 0.5000
Au1 Au 0.0000 0.0000 0.0000
# ΔE to the lowest computed polymorph = 0 meV/atom
# DFT formation energy = -236 meV/atom
# spin magnetization = 0.00 μB/cell

=====

Record 11
# Na3Hg3Au2 (PBE, optimized geometry)
data_Na3Hg3Au2
_cell_length_a 8.128
_cell_length_b 16.853
_cell_length_c 6.020
_cell_angle_alpha 90.00
_cell_angle_beta 90.00
_cell_angle_gamma 90.00
_space_group_name_H-M_alt 'P n m a'
_space_group_IT_number 62
loop_
_space_group_symop_operation_xyz
'x,y,z'
'-x,-y,-z'
'-x+1/2,-y,z+1/2'
'x+1/2,y,-z+1/2'
'x+1/2,-y+1/2,-z+1/2'
'-x+1/2,y+1/2,z+1/2'
'-x,y+1/2,-z'
'x,-y+1/2,z'
loop_
_atom_site_label
_atom_site_type_symbol
_atom_site_fract_x
_atom_site_fract_y
_atom_site_fract_z
Na1 Na 0.038 0.108 0.107
Na2 Na 0.166 0.250 0.658
Hg1 Hg 0.169 0.750 0.684
Hg2 Hg 0.198 0.038 0.564
Au1 Au 0.113 0.620 0.392
# DFT formation energy = -246 meV/atom
# spin magnetization = 0.00 μB/cell

=====

Record 12
# Na6HgAu5 (PBE, optimized geometry)
data_Na6HgAu5
_cell_length_a 8.851
_cell_length_b 14.781
_cell_length_c 4.920
_cell_angle_alpha 90.00
_cell_angle_beta 123.43
_cell_angle_gamma 90.00
_space_group_name_H-M_alt 'C 1 2/m 1'
_space_group_IT_number 12
loop_
_space_group_symop_operation_xyz
'x,y,z'
'-x,-y,-z'
'-x,y,-z'
'x,-y,z'
'x+1/2,y+1/2,z'
'-x+1/2,-y+1/2,-z'
'-x+1/2,y+1/2,-z'
'x+1/2,-y+1/2,z'
loop_
_atom_site_label
_atom_site_type_symbol
_atom_site_fract_x
_atom_site_fract_y
_atom_site_fract_z
Na1 Na 0.234 0.000 0.234
Na2 Na 0.241 0.172 0.742
Hg1 Hg 0.000 0.500 0.000
Au1 Au 0.000 0.000 0.500
Au2 Au 0.000 0.167 0.000
Au3 Au 0.000 0.342 0.500
# DFT formation energy = -273 meV/atom
# spin magnetization = 0.00 μB/cell

=====

Record 13
# Na4HgAu3 (PBE, optimized geometry)
data_Na4HgAu3
_cell_length_a 10.006
_cell_length_b 6.930
_cell_length_c 5.165
_cell_angle_alpha 90.00
_cell_angle_beta 90.00
_cell_angle_gamma 90.00
_space_group_name_H-M_alt 'P m m a'
_space_group_IT_number 51
loop_
_space_group_symop_operation_xyz
'x,y,z'
'-x,-y,-z'
'-x+1/2,-y,z'
'x+1/2,y,-z'
'x+1/2,-y,-z'
'-x+1/2,y,z'
'-x,y,-z'
'x,-y,z'
loop_
_atom_site_label
_atom_site_type_symbol
_atom_site_fract_x
_atom_site_fract_y
_atom_site_fract_z
Na1 Na 0.000 0.238 0.000
Na2 Na 0.250 0.240 0.404
Hg1 Hg 0.000 0.500 0.500
Au1 Au 0.000 0.000 0.500
Au2 Au 0.250 0.000 0.882
Au3 Au 0.250 0.500 0.901
# DFT formation energy = -274 meV/atom
# spin magnetization = 0.00 μB/cell

=====

Record 14
# Na8Hg5Au (PBE, optimized geometry)
data_Na8Hg5Au
_cell_length_a 9.047
_cell_length_b 9.047
_cell_length_c 9.431
_cell_angle_alpha 90.00
_cell_angle_beta 90.00
_cell_angle_gamma 90.00
_space_group_name_H-M_alt 'I -4'
_space_group_IT_number 82
loop_
_space_group_symop_operation_xyz
'x,y,z'
'y,-x,-z'
'-x,-y,z'
'-y,x,-z'
'x+1/2,y+1/2,z+1/2'
'y+1/2,-x+1/2,-z+1/2'
'-x+1/2,-y+1/2,z+1/2'
'-y+1/2,x+1/2,-z+1/2'
loop_
_atom_site_label
_atom_site_type_symbol
_atom_site_fract_x
_atom_site_fract_y
_atom_site_fract_z
Na1 Na 0.068 0.181 0.329
Na2 Na 0.085 0.324 0.997
Hg1 Hg 0.000 0.000 0.000
Hg2 Hg 0.108 0.285 0.671
Au1 Au 0.000 0.500 0.250
# DFT formation energy = -198 meV/atom
# spin magnetization = 0.00 μB/cell

=====

Record 15
# Na6Hg3Au (PBE, optimized geometry)
data_Na6Hg3Au
_cell_length_a 9.159
_cell_length_b 5.248
_cell_length_c 11.421
_cell_angle_alpha 90.00
_cell_angle_beta 106.42
_cell_angle_gamma 90.00
_space_group_name_H-M_alt 'P 1 21/m 1'
_space_group_IT_number 11
loop_
_space_group_symop_operation_xyz
'x,y,z'
'-x,-y,-z'
'-x,y+1/2,-z'
'x,-y+1/2,z'
loop_
_atom_site_label
_atom_site_type_symbol
_atom_site_fract_x
_atom_site_fract_y
_atom_site_fract_z
Na1 Na 0.031 0.250 0.416
Na2 Na 0.157 0.750 0.169
Na3 Na 0.276 0.250 0.001
Na4 Na 0.353 0.750 0.824
Na5 Na 0.358 0.250 0.315
Na6 Na 0.410 0.250 0.618
Hg1 Hg 0.032 0.750 0.876
Hg2 Hg 0.122 0.250 0.720
Hg3 Hg 0.267 0.750 0.474
Au1 Au 0.454 0.750 0.114
# ΔE to the lowest computed polymorph = 0 meV/atom
# DFT formation energy = -216 meV/atom
# spin magnetization = 0.00 μB/cell

=====

Record 16
# Na11Hg9Au4 (PBE, optimized geometry)
data_Na11Hg9Au4
_cell_length_a 13.915
_cell_length_b 20.922
_cell_length_c 4.162
_cell_angle_alpha 90.00
_cell_angle_beta 90.00
_cell_angle_gamma 90.00
_space_group_name_H-M_alt 'C m m m'
_space_group_IT_number 65
_space_group_name_Hall '-C 2 2'
loop_
_atom_site_label
_atom_site_type_symbol
_atom_site_fract_x
_atom_site_fract_y
_atom_site_fract_z
Na1 Na 0.000 0.000 0.000
Na2 Na 0.000 0.164 0.000
Na3 Na 0.000 0.366 0.000
Na4 Na 0.201 0.500 0.000
Na5 Na 0.241 0.171 0.000
Hg1 Hg 0.000 0.500 0.500
Hg2 Hg 0.113 0.259 0.500
Hg3 Hg 0.138 0.076 0.500
Au1 Au 0.149 0.400 0.500
# DFT formation energy = -268 meV/atom
# spin magnetization = 0.00 μB/cell

=====

Record 17
# Na5Hg8Au (PBE, optimized geometry)
data_Na5Hg8Au
_cell_length_a 9.097
_cell_length_b 9.097
_cell_length_c 9.082
_cell_angle_alpha 90.00
_cell_angle_beta 90.00
_cell_angle_gamma 90.00
_space_group_name_H-M_alt 'I -4'
_space_group_IT_number 82
loop_
_space_group_symop_operation_xyz
'x,y,z'
'y,-x,-z'
'-x,-y,z'
'-y,x,-z'
'x+1/2,y+1/2,z+1/2'
'y+1/2,-x+1/2,-z+1/2'
'-x+1/2,-y+1/2,z+1/2'
'-y+1/2,x+1/2,-z+1/2'
loop_
_atom_site_label
_atom_site_type_symbol
_atom_site_fract_x
_atom_site_fract_y
_atom_site_fract_z
Na1 Na 0.000 0.000 0.000
Na2 Na 0.113 0.263 0.349
Hg1 Hg 0.078 0.180 0.691
Hg2 Hg 0.092 0.331 0.013
Au1 Au 0.000 0.500 0.750
# DFT formation energy = -177 meV/atom
# spin magnetization = 0.00 μB/cell

=====

Record 18
# NaHg2Au5 (PBE, optimized geometry)
data_NaHg2Au5
_cell_length_a 2.966
_cell_length_b 9.087
_cell_length_c 11.895
_cell_angle_alpha 90.00
_cell_angle_beta 90.00
_cell_angle_gamma 90.00
_space_group_name_H-M_alt 'I m m m'
_space_group_IT_number 71
_space_group_name_Hall '-I 2 2'
loop_
_atom_site_label
_atom_site_type_symbol
_atom_site_fract_x
_atom_site_fract_y
_atom_site_fract_z
Na1 Na 0.000 0.000 0.000
Hg1 Hg 0.000 0.500 0.260
Au1 Au 0.000 0.232 0.380
Au2 Au 0.000 0.500 0.000
# DFT formation energy = -37 meV/atom
# spin magnetization = 0.00 μB/cell

=====

Record 19
# Na5Hg6Au (PBE, optimized geometry)
data_Na5Hg6Au
_cell_length_a 4.859
_cell_length_b 14.722
_cell_length_c 8.263
_cell_angle_alpha 90.00
_cell_angle_beta 90.00
_cell_angle_gamma 90.00
_space_group_name_H-M_alt 'C m m m'
_space_group_IT_number 65
_space_group_name_Hall '-C 2 2'
loop_
_atom_site_label
_atom_site_type_symbol
_atom_site_fract_x
_atom_site_fract_y
_atom_site_fract_z
Na1 Na 0.000 0.000 0.000
Na2 Na 0.000 0.329 0.000
Na3 Na 0.000 0.340 0.500
Hg1 Hg 0.000 0.161 0.256
Hg2 Hg 0.000 0.500 0.255
Au1 Au 0.000 0.000 0.500
# DFT formation energy = -227 meV/atom
# spin magnetization = 0.00 μB/cell